# 1
First-principles (GGA-PBE) data for a relaxed AsO crystal, as listed in the Alexandria database.

## Properties
E_form (uncorrected) = -0.49 eV per atom
magnetic moment = 0.000 μB/atom
excess energy over the best structure of this formula in the dataset = 0.334 eV/atom
final energy = -0.194 Ha/atom
density of states at the Fermi level = 1.02 states/eV/f.u.
symmetry = No. 176

a = 9.5988 Å, b = 9.5988 Å, c = 2.8339 Å
α = 90.00°, β = 90.00°, γ = 120.00°
Sites, in units of the cell vectors:
As 0.0892 0.3220 0.2500
As 0.2329 0.9108 0.2500
As 0.3220 0.2329 0.7500
As 0.6780 0.7671 0.2500
As 0.7671 0.0892 0.7500
As 0.9108 0.6780 0.7500
O 0.1284 0.4619 0.7500
O 0.3335 0.8716 0.7500
O 0.4619 0.3335 0.2500
O 0.5381 0.6665 0.7500
O 0.6665 0.1284 0.2500
O 0.8716 0.5381 0.2500

# 2
First-principles (GGA-PBE) data for a relaxed AsO crystal, as listed in the Alexandria database.

## Properties
E_form (uncorrected) = -0.57 eV per atom
magnetic moment = 0.000 μB/atom
excess energy over the best structure of this formula in the dataset = 0.251 eV/atom
final energy = -0.198 Ha/atom
density of states at the Fermi level = 0.51 states/eV/f.u.
symmetry = No. 59

a = 2.9841 Å, b = 3.0752 Å, c = 7.3601 Å
α = 90.00°, β = 90.00°, γ = 90.00°
Sites, in units of the cell vectors:
As 0.2500 0.2500 0.1640
As 0.7500 0.7500 0.8360
O 0.2500 0.7500 0.6871
O 0.7500 0.2500 0.3129

# 3
First-principles (GGA-PBE) data for a relaxed AsO crystal, as listed in the Alexandria database.

## Properties
E_form (uncorrected) = -0.52 eV per atom
magnetic moment = 0.000 μB/atom
excess energy over the best structure of this formula in the dataset = 0.302 eV/atom
final energy = -0.196 Ha/atom
density of states at the Fermi level = 0.70 states/eV/f.u.
symmetry = No. 87

a = 6.8296 Å, b = 6.8296 Å, c = 6.8296 Å
α = 92.44°, β = 92.44°, γ = 156.19°
Sites, in units of the cell vectors:
As 0.9995 0.2447 0.2443
As 0.0005 0.7553 0.7557
As 0.2447 0.0005 0.2452
As 0.7553 0.9995 0.7548
O 0.1436 0.3718 0.5154
O 0.3718 0.8564 0.2282
O 0.6282 0.1436 0.7718
O 0.8564 0.6282 0.4846

# 4
First-principles (GGA-PBE) data for a relaxed AsO crystal, as listed in the Alexandria database.

## Properties
E_form (uncorrected) = 0.02 eV per atom
magnetic moment = 0.000 μB/atom
excess energy over the best structure of this formula in the dataset = 0.838 eV/atom
final energy = -0.176 Ha/atom
density of states at the Fermi level = 1.48 states/eV/f.u.
symmetry = No. 216

a = 3.6013 Å, b = 3.6013 Å, c = 3.6013 Å
α = 60.00°, β = 60.00°, γ = 60.00°
Sites, in units of the cell vectors:
As 0.0000 0.0000 0.0000
O 0.2500 0.2500 0.2500

# 5
First-principles (GGA-PBE) data for a relaxed AsO crystal, as listed in the Alexandria database.

## Properties
E_form (uncorrected) = -0.65 eV per atom
magnetic moment = 0.000 μB/atom
excess energy over the best structure of this formula in the dataset = 0.169 eV/atom
final energy = -0.201 Ha/atom
density of states at the Fermi level = 0.56 states/eV/f.u.
symmetry = No. 70

a = 8.8992 Å, b = 8.7421 Å, c = 4.3598 Å
α = 77.70°, β = 73.70°, γ = 28.60°
Sites, in units of the cell vectors:
As 0.0857 0.6643 0.0857
As 0.3357 0.9143 0.3357
As 0.6643 0.0857 0.6643
As 0.9143 0.3357 0.9143
O 0.0506 0.0506 0.1994
O 0.1994 0.1994 0.0506
O 0.8006 0.8006 0.9494
O 0.9494 0.9494 0.8006

# 6
First-principles (GGA-PBE) data for a relaxed As2O3 crystal, as listed in the Alexandria database.

## Properties
E_form (uncorrected) = -1.15 eV per atom
magnetic moment = 0.000 μB/atom
final energy = -0.220 Ha/atom
density of states at the Fermi level = 0.00 states/eV/f.u.
symmetry = No. 11

a = 5.1940 Å, b = 5.4472 Å, c = 7.1888 Å
α = 90.00°, β = 110.87°, γ = 90.00°
Sites, in units of the cell vectors:
As 0.0558 0.2500 0.2642
As 0.2913 0.2500 0.7341
As 0.7087 0.7500 0.2659
As 0.9442 0.7500 0.7358
O 0.0074 0.7500 0.4999
O 0.1777 0.9999 0.8545
O 0.1777 0.5001 0.8545
O 0.8223 0.0001 0.1455
O 0.8223 0.4999 0.1455
O 0.9926 0.2500 0.5001

# 7
First-principles (GGA-PBE) data for a relaxed AsO crystal, as listed in the Alexandria database.

## Properties
E_form (uncorrected) = -0.55 eV per atom
magnetic moment = 0.000 μB/atom
excess energy over the best structure of this formula in the dataset = 0.268 eV/atom
final energy = -0.197 Ha/atom
density of states at the Fermi level = 0.44 states/eV/f.u.
symmetry = No. 83

a = 10.3906 Å, b = 10.3906 Å, c = 2.8516 Å
α = 90.00°, β = 90.00°, γ = 90.00°
Sites, in units of the cell vectors:
As 0.0967 0.1602 0.0000
As 0.1602 0.9033 0.0000
As 0.2366 0.5981 0.5000
As 0.4019 0.2366 0.5000
As 0.5981 0.7634 0.5000
As 0.7634 0.4019 0.5000
As 0.8398 0.0967 0.0000
As 0.9033 0.8398 0.0000
O 0.1244 0.5881 0.0000
O 0.2275 0.2549 0.5000
O 0.2549 0.7725 0.5000
O 0.4119 0.1244 0.0000
O 0.5881 0.8756 0.0000
O 0.7451 0.2275 0.5000
O 0.7725 0.7451 0.5000
O 0.8756 0.4119 0.0000

# 8
First-principles (GGA-PBE) data for a relaxed As2O3 crystal, as listed in the Alexandria database.

## Properties
E_form (uncorrected) = -1.15 eV per atom
magnetic moment = 0.000 μB/atom
final energy = -0.220 Ha/atom
density of states at the Fermi level = 0.00 states/eV/f.u.
symmetry = No. 167

a = 9.1174 Å, b = 9.1174 Å, c = 9.1174 Å
α = 32.11°, β = 32.11°, γ = 32.11°
Sites, in units of the cell vectors:
As 0.1167 0.1167 0.1167
As 0.3833 0.3833 0.3833
As 0.6167 0.6167 0.6167
As 0.8833 0.8833 0.8833
O 0.1206 0.7500 0.3794
O 0.2500 0.6206 0.8794
O 0.3794 0.1206 0.7500
O 0.6206 0.8794 0.2500
O 0.7500 0.3794 0.1206
O 0.8794 0.2500 0.6206

# 9
First-principles (GGA-PBE) data for a relaxed As2O3 crystal, as listed in the Alexandria database.

## Properties
E_form (uncorrected) = -1.20 eV per atom
magnetic moment = 0.000 μB/atom
final energy = -0.222 Ha/atom
density of states at the Fermi level = 0.00 states/eV/f.u.
symmetry = No. 227

a = 8.2200 Å, b = 8.2200 Å, c = 8.2200 Å
α = 60.00°, β = 60.00°, γ = 60.00°
Sites, in units of the cell vectors:
As 0.1733 0.7756 0.7756
As 0.2244 0.2244 0.2244
As 0.2244 0.2244 0.8267
As 0.2244 0.8267 0.2244
As 0.7756 0.1733 0.7756
As 0.7756 0.7756 0.1733
As 0.7756 0.7756 0.7756
As 0.8267 0.2244 0.2244
O 0.0453 0.0453 0.7047
O 0.0453 0.7047 0.0453
O 0.0453 0.7047 0.7047
O 0.2953 0.2953 0.9547
O 0.2953 0.9547 0.2953
O 0.2953 0.9547 0.9547
O 0.7047 0.0453 0.0453
O 0.7047 0.0453 0.7047
O 0.7047 0.7047 0.0453
O 0.9547 0.2953 0.2953
O 0.9547 0.2953 0.9547
O 0.9547 0.9547 0.2953

# 10
First-principles (GGA-PBE) data for a relaxed As2O3 crystal, as listed in the Alexandria database.

## Properties
E_form (uncorrected) = -0.57 eV per atom
magnetic moment = 0.088 μB/atom
final energy = -0.198 Ha/atom
density of states at the Fermi level = 2.02 states/eV/f.u.
symmetry = No. 227

a = 7.0837 Å, b = 7.0837 Å, c = 7.0837 Å
α = 60.00°, β = 60.00°, γ = 60.00°
Sites, in units of the cell vectors:
As 0.0000 0.0000 0.0000
As 0.0000 0.0000 0.5000
As 0.0000 0.5000 0.0000
As 0.0000 0.5000 0.5000
As 0.5000 0.0000 0.0000
As 0.5000 0.0000 0.5000
As 0.5000 0.5000 0.0000
As 0.5000 0.5000 0.5000
O 0.0736 0.0736 0.6764
O 0.0736 0.6764 0.0736
O 0.0736 0.6764 0.6764
O 0.3236 0.3236 0.9264
O 0.3236 0.9264 0.3236
O 0.3236 0.9264 0.9264
O 0.6764 0.0736 0.0736
O 0.6764 0.0736 0.6764
O 0.6764 0.6764 0.0736
O 0.9264 0.3236 0.3236
O 0.9264 0.3236 0.9264
O 0.9264 0.9264 0.3236

# 11
First-principles (GGA-PBE) data for a relaxed As2O3 crystal, as listed in the Alexandria database.

## Properties
E_form (uncorrected) = -1.19 eV per atom
magnetic moment = 0.000 μB/atom
final energy = -0.221 Ha/atom
density of states at the Fermi level = 0.00 states/eV/f.u.
symmetry = No. 86

a = 6.9847 Å, b = 6.9847 Å, c = 8.7352 Å
α = 90.00°, β = 90.00°, γ = 90.00°
Sites, in units of the cell vectors:
As 0.0279 0.6956 0.1573
As 0.1956 0.9721 0.6573
As 0.3044 0.5279 0.6573
As 0.4721 0.8044 0.1573
As 0.5279 0.1956 0.8427
As 0.6956 0.4721 0.3427
As 0.8044 0.0279 0.3427
As 0.9721 0.3044 0.8427
O 0.0724 0.4096 0.6687
O 0.0904 0.0724 0.8313
O 0.2500 0.7500 0.2595
O 0.2500 0.7500 0.7595
O 0.4096 0.4276 0.8313
O 0.4276 0.0904 0.6687
O 0.5724 0.9096 0.3313
O 0.5904 0.5724 0.1687
O 0.7500 0.2500 0.2405
O 0.7500 0.2500 0.7405
O 0.9096 0.9276 0.1687
O 0.9276 0.5904 0.3313

# 12
First-principles (GGA-PBE) data for a relaxed AsO crystal, as listed in the Alexandria database.

## Properties
E_form (uncorrected) = -0.29 eV per atom
magnetic moment = 0.500 μB/atom
excess energy over the best structure of this formula in the dataset = 0.536 eV/atom
final energy = -0.187 Ha/atom
symmetry = No. 136

a = 8.6861 Å, b = 8.6861 Å, c = 2.8618 Å
α = 90.00°, β = 90.00°, γ = 90.00°
Sites, in units of the cell vectors:
As 0.2438 0.2438 0.0000
As 0.2562 0.7438 0.5000
As 0.7438 0.2562 0.5000
As 0.7562 0.7562 0.0000
O 0.1596 0.8404 0.0000
O 0.3404 0.3404 0.5000
O 0.6596 0.6596 0.5000
O 0.8404 0.1596 0.0000

# 13
First-principles (GGA-PBE) data for a relaxed AsO4 crystal, as listed in the Alexandria database.

## Properties
E_form (uncorrected) = 0.25 eV per atom
magnetic moment = 0.634 μB/atom
final energy = -0.171 Ha/atom
density of states at the Fermi level = 3.28 states/eV/f.u.
symmetry = No. 221

a = 3.6924 Å, b = 3.6924 Å, c = 3.6924 Å
α = 90.00°, β = 90.00°, γ = 90.00°
Sites, in units of the cell vectors:
As 0.0000 0.0000 0.0000
O 0.0000 0.0000 0.5000
O 0.0000 0.5000 0.0000
O 0.5000 0.0000 0.0000
O 0.5000 0.5000 0.5000

# 14
First-principles (GGA-PBE) data for a relaxed AsO crystal, as listed in the Alexandria database.

## Properties
E_form (uncorrected) = -0.27 eV per atom
magnetic moment = 0.255 μB/atom
excess energy over the best structure of this formula in the dataset = 0.549 eV/atom
final energy = -0.187 Ha/atom
density of states at the Fermi level = 1.29 states/eV/f.u.
symmetry = No. 217

a = 6.6686 Å, b = 6.6686 Å, c = 6.6686 Å
α = 109.47°, β = 109.47°, γ = 109.47°
Sites, in units of the cell vectors:
As 0.0000 0.0000 0.2813
As 0.0000 0.2813 0.0000
As 0.2813 0.0000 0.0000
As 0.7187 0.7187 0.7187
O 0.0000 0.0000 0.7635
O 0.0000 0.7635 0.0000
O 0.2365 0.2365 0.2365
O 0.7635 0.0000 0.0000

# 15
First-principles (GGA-PBE) data for a relaxed As2O3 crystal, as listed in the Alexandria database.

## Properties
E_form (uncorrected) = -0.83 eV per atom
magnetic moment = 0.000 μB/atom
final energy = -0.208 Ha/atom
density of states at the Fermi level = 0.34 states/eV/f.u.
symmetry = No. 12

a = 6.9783 Å, b = 6.9783 Å, c = 7.0491 Å
α = 99.86°, β = 99.86°, γ = 28.69°
Sites, in units of the cell vectors:
As 0.0830 0.0830 0.4182
As 0.3871 0.3871 0.1601
As 0.6129 0.6129 0.8399
As 0.9170 0.9170 0.5818
O 0.1421 0.1421 0.9252
O 0.3581 0.3581 0.4011
O 0.4781 0.4781 0.7619
O 0.5219 0.5219 0.2381
O 0.6419 0.6419 0.5989
O 0.8579 0.8579 0.0748

# 16
First-principles (GGA-PBE) data for a relaxed As2O3 crystal, as listed in the Alexandria database.

## Properties
E_form (uncorrected) = -1.21 eV per atom
magnetic moment = 0.000 μB/atom
final energy = -0.222 Ha/atom
density of states at the Fermi level = 0.00 states/eV/f.u.
symmetry = No. 1

a = 4.6103 Å, b = 4.9618 Å, c = 5.1127 Å
α = 79.99°, β = 83.86°, γ = 62.52°
Sites, in units of the cell vectors:
As 0.0000 0.0000 0.0000
As 0.3302 0.4173 0.6792
O 0.1477 0.1614 0.6931
O 0.5663 0.2543 0.9860
O 0.9806 0.7072 0.8404

# 17
First-principles (GGA-PBE) data for a relaxed As2O3 crystal, as listed in the Alexandria database.

## Properties
E_form (uncorrected) = -0.81 eV per atom
magnetic moment = 0.000 μB/atom
final energy = -0.208 Ha/atom
density of states at the Fermi level = 0.00 states/eV/f.u.
symmetry = No. 38

a = 3.5869 Å, b = 5.5459 Å, c = 5.5459 Å
α = 61.63°, β = 90.00°, γ = 90.00°
Sites, in units of the cell vectors:
As 0.0000 0.0000 0.0000
As 0.5000 0.3596 0.3596
O 0.0000 0.1287 0.6385
O 0.0000 0.6385 0.1287
O 0.5000 0.1822 0.1822

# 18
First-principles (GGA-PBE) data for a relaxed AsOs2O crystal, as listed in the Alexandria database.

## Properties
E_form (uncorrected) = 0.60 eV per atom
magnetic moment = 0.000 μB/atom
excess energy over the best structure of this formula in the dataset = 0.325 eV/atom
final energy = -0.272 Ha/atom
density of states at the Fermi level = 6.34 states/eV/f.u.
symmetry = No. 225

a = 4.1612 Å, b = 4.1612 Å, c = 4.1612 Å
α = 60.00°, β = 60.00°, γ = 60.00°
Sites, in units of the cell vectors:
As 0.0000 0.0000 0.0000
Os 0.2500 0.2500 0.2500
Os 0.7500 0.7500 0.7500
O 0.5000 0.5000 0.5000

# 19
First-principles (GGA-PBE) data for a relaxed As3OsO crystal, as listed in the Alexandria database.

## Properties
E_form (uncorrected) = 0.59 eV per atom
magnetic moment = 0.000 μB/atom
excess energy over the best structure of this formula in the dataset = 0.000 eV/atom
final energy = -0.200 Ha/atom
density of states at the Fermi level = 2.84 states/eV/f.u.
symmetry = No. 221

a = 4.2505 Å, b = 4.2505 Å, c = 4.2505 Å
α = 90.00°, β = 90.00°, γ = 90.00°
Sites, in units of the cell vectors:
As 0.0000 0.0000 0.5000
As 0.0000 0.5000 0.0000
As 0.5000 0.0000 0.0000
Os 0.5000 0.5000 0.5000
O 0.0000 0.0000 0.0000

# 20
First-principles (GGA-PBE) data for a relaxed AsOs2O crystal, as listed in the Alexandria database.

## Properties
E_form (uncorrected) = 0.28 eV per atom
magnetic moment = 0.000 μB/atom
excess energy over the best structure of this formula in the dataset = 0.000 eV/atom
final energy = -0.284 Ha/atom
density of states at the Fermi level = 3.95 states/eV/f.u.
symmetry = No. 122

a = 7.4857 Å, b = 7.4857 Å, c = 7.4857 Å
α = 147.43°, β = 147.43°, γ = 46.72°
Sites, in units of the cell vectors:
As 0.0000 0.0000 0.0000
As 0.7500 0.2500 0.5000
Os 0.2086 0.6250 0.0836
Os 0.3750 0.4586 0.5836
Os 0.5414 0.1250 0.9164
Os 0.8750 0.7914 0.4164
O 0.2500 0.7500 0.5000
O 0.5000 0.5000 0.0000

# 21
First-principles (GGA-PBE) data for a relaxed AsOsO2 crystal, as listed in the Alexandria database.

## Properties
E_form (uncorrected) = 0.34 eV per atom
magnetic moment = 0.000 μB/atom
final energy = -0.224 Ha/atom
density of states at the Fermi level = 2.32 states/eV/f.u.
symmetry = No. 122

a = 5.8744 Å, b = 5.8744 Å, c = 5.8744 Å
α = 128.21°, β = 128.21°, γ = 76.29°
Sites, in units of the cell vectors:
As 0.0000 0.0000 0.0000
As 0.7500 0.2500 0.5000
Os 0.2500 0.7500 0.5000
Os 0.5000 0.5000 0.0000
O 0.1961 0.6250 0.0711
O 0.3750 0.4461 0.5711
O 0.5539 0.1250 0.9289
O 0.8750 0.8039 0.4289